No. 1
Material: NbCrI2N
Method: DFT, GGA-PBE
State: relaxed

Properties
E_tot in eV/atom: -5.84
Relative energy among the computed polymorphs in eV per atom: 0.000
Formation energy from raw total energies in meV/atom: 380

abc: 5.779 5.779 3.938
angles: 90.00 90.00 90.00
Space group P4/mmm (No. 123)
Unique sites:
Nb: 0.000 0.000 0.000 [1 per cell]
Cr: 0.500 0.500 0.500 [1 per cell]
I: 0.000 0.500 0.000 [2 per cell]
N: 0.000 0.000 0.500 [1 per cell]

---

No. 2
Material: NbCrI2N
Method: DFT, GGA-PBE
State: relaxed

Properties
E_tot in eV/atom: -5.63
Relative energy among the computed polymorphs in eV per atom: 0.216
Formation energy from raw total energies in meV/atom: 597

abc: 5.564 5.564 3.591
angles: 90.00 90.00 90.00
Space group P4/mmm (No. 123)
Unique sites:
Nb: 0.000 0.000 0.000 [1 per cell]
Cr: 0.500 0.500 0.500 [1 per cell]
I: 0.000 0.500 0.500 [2 per cell]
N: 0.500 0.500 0.000 [1 per cell]